Compound: HgTeBr
Source: Alexandria
Functional: PBE-GGA
Structure: optimized geometry

E_form (uncorrected)   141 meV/atom
E above lowest polymorph   0.299 eV/atom
D(E_F)   0.846 states/eV/atom

a = 5.1628 Å, b = 5.1628 Å, c = 5.1628 Å
α = 60.00°, β = 60.00°, γ = 60.00°
Positions (direct):
Hg 0.5000 0.5000 0.5000
Te 0.7500 0.7500 0.7500
Br 0.0000 0.0000 0.0000